# 1
# PBE IrSe2, optimized geometry
data_IrSe2
_chemical_formula_sum 'Ir4 Se8'
_symmetry_space_group_name_H-M 'C 1 m 1'
_symmetry_Int_Tables_number 8
_cell_length_a 13.5869
_cell_length_b 3.5084
_cell_length_c 6.9382
_cell_angle_alpha 90.00
_cell_angle_beta 116.27
_cell_angle_gamma 90.00
loop_
_symmetry_equiv_pos_as_xyz
'x,y,z'
'x,-y,z'
'x+1/2,y+1/2,z'
'x+1/2,-y+1/2,z'
loop_
_atom_site_label
_atom_site_fract_x
_atom_site_fract_y
_atom_site_fract_z
Ir1 0.0000 0.0000 0.0000
Ir2 0.1250 0.5000 0.3661
Se1 0.1976 0.0000 0.1899
Se2 0.2129 0.0000 0.6516
Se3 0.4242 0.0000 0.7457
Se4 0.4803 0.5000 0.3272
# **Magnetization**: 0.00 μB/f.u.
# **Energy relative to the elements, uncorrected**: -0.09 eV per formula unit
# **Electronic total energy**: -63.7 eV/cell


# 2
# PBE Zr2TiClO, optimized geometry
data_Zr2TiClO
_chemical_formula_sum 'Zr2 Ti1 Cl1 O1'
_symmetry_space_group_name_H-M 'P 4/m m m'
_symmetry_Int_Tables_number 123
_symmetry_space_group_name_Hall '-P 4 2'
_cell_length_a 4.7052
_cell_length_b 4.7052
_cell_length_c 3.8630
_cell_angle_alpha 90.00
_cell_angle_beta 90.00
_cell_angle_gamma 90.00
loop_
_atom_site_label
_atom_site_fract_x
_atom_site_fract_y
_atom_site_fract_z
Zr1 0.0000 0.5000 0.0000
Ti1 0.0000 0.0000 0.5000
Cl1 0.5000 0.5000 0.5000
O1 0.0000 0.0000 0.0000
# **Magnetization**: 0.00 μB/f.u.
# **Energy relative to the elements, uncorrected**: -3.85 eV per formula unit
# **Electronic total energy**: -35.6 eV/cell


# 3
# PBE Cd2TcNi, optimized geometry
data_Cd2TcNi
_chemical_formula_sum 'Cd4 Tc2 Ni2'
_symmetry_space_group_name_H-M 'C 1 m 1'
_symmetry_Int_Tables_number 8
_cell_length_a 10.6971
_cell_length_b 2.7298
_cell_length_c 5.0507
_cell_angle_alpha 90.00
_cell_angle_beta 115.52
_cell_angle_gamma 90.00
loop_
_symmetry_equiv_pos_as_xyz
'x,y,z'
'x,-y,z'
'x+1/2,y+1/2,z'
'x+1/2,-y+1/2,z'
loop_
_atom_site_label
_atom_site_fract_x
_atom_site_fract_y
_atom_site_fract_z
Cd1 0.0000 0.0000 0.0000
Cd2 0.2195 0.0000 0.6049
Tc1 0.4564 0.0000 0.4672
Ni1 0.2522 0.5000 0.1146
# **Magnetization**: 0.00 μB/f.u.
# **Polymorph energy (0 for the lowest one)**: 0.584 eV per formula unit
# **Energy relative to the elements**: 0.317 eV per atom
# **Electronic total energy**: -33.4 eV/cell


# 4
# PBE Ta2SbI, optimized geometry
data_Ta2SbI
_chemical_formula_sum 'Ta8 Sb4 I4'
_symmetry_space_group_name_H-M 'F m -3 m'
_symmetry_Int_Tables_number 225
_symmetry_space_group_name_Hall '-F 4 2 3'
_cell_length_a 6.8629
_cell_length_b 6.8629
_cell_length_c 6.8629
_cell_angle_alpha 90.00
_cell_angle_beta 90.00
_cell_angle_gamma 90.00
loop_
_atom_site_label
_atom_site_fract_x
_atom_site_fract_y
_atom_site_fract_z
Ta1 0.2500 0.2500 0.2500
Sb1 0.0000 0.0000 0.0000
I1 0.0000 0.0000 0.5000
# **Magnetization**: 0.00 μB/f.u.
# **Energy relative to the elements, uncorrected**: 2.24 eV per formula unit
# **Polymorph energy (0 for the lowest one)**: 0.000 eV per formula unit
# **Electronic total energy**: -108.5 eV/cell


# 5
# PBE NaSiOs2Br, optimized geometry
data_NaSiOs2Br
_chemical_formula_sum 'Na1 Si1 Os2 Br1'
_symmetry_space_group_name_H-M 'P 4/m m m'
_symmetry_Int_Tables_number 123
_symmetry_space_group_name_Hall '-P 4 2'
_cell_length_a 4.4820
_cell_length_b 4.4820
_cell_length_c 6.2273
_cell_angle_alpha 90.00
_cell_angle_beta 90.00
_cell_angle_gamma 90.00
loop_
_atom_site_label
_atom_site_fract_x
_atom_site_fract_y
_atom_site_fract_z
Na1 0.0000 0.0000 0.0000
Si1 0.5000 0.5000 0.5000
Os1 0.0000 0.5000 0.5000
Br1 0.5000 0.5000 0.0000
# **Magnetization**: 3.78 μB/f.u.
# **Energy relative to the elements, uncorrected**: 5.04 eV per formula unit
# **Electronic total energy**: -25.8 eV/cell


# 6
# PBE MgZrZnCd, optimized geometry
data_MgZrZnCd
_chemical_formula_sum 'Mg1 Zr1 Zn1 Cd1'
_symmetry_space_group_name_H-M 'P 4 m m'
_symmetry_Int_Tables_number 99
_cell_length_a 3.1594
_cell_length_b 3.1594
_cell_length_c 7.9118
_cell_angle_alpha 90.00
_cell_angle_beta 90.00
_cell_angle_gamma 90.00
loop_
_symmetry_equiv_pos_as_xyz
'x,y,z'
'-y,x,z'
'-x,-y,z'
'y,-x,z'
'-x,y,z'
'y,x,z'
'x,-y,z'
'-y,-x,z'
loop_
_atom_site_label
_atom_site_fract_x
_atom_site_fract_y
_atom_site_fract_z
Mg1 0.0000 0.0000 0.0000
Zr1 0.0000 0.0000 0.5436
Zn1 0.5000 0.5000 0.7771
Cd1 0.5000 0.5000 0.2622
# **Magnetization**: 0.00 μB/f.u.
# **Energy relative to the elements**: -0.176 eV per atom
# **Electronic total energy**: -13.0 eV/cell


# 7
# PBE KCaCrMo2, optimized geometry
data_KCaCrMo2
_chemical_formula_sum 'K1 Ca1 Cr1 Mo2'
_symmetry_space_group_name_H-M 'P 4/m m m'
_symmetry_Int_Tables_number 123
_symmetry_space_group_name_Hall '-P 4 2'
_cell_length_a 4.7424
_cell_length_b 4.7424
_cell_length_c 5.0492
_cell_angle_alpha 90.00
_cell_angle_beta 90.00
_cell_angle_gamma 90.00
loop_
_atom_site_label
_atom_site_fract_x
_atom_site_fract_y
_atom_site_fract_z
K1 0.0000 0.0000 0.0000
Ca1 0.0000 0.0000 0.5000
Cr1 0.5000 0.5000 0.0000
Mo1 0.0000 0.5000 0.5000
# **Magnetization**: 0.88 μB/f.u.
# **Energy relative to the elements**: 2.937 eV per atom
# **Electronic total energy**: -19.7 eV/cell


# 8
# PBE Th3Zn5Se12, optimized geometry
data_Th3Zn5Se12
_chemical_formula_sum 'Th24 Zn40 Se96'
_symmetry_space_group_name_H-M 'I a -3 d'
_symmetry_Int_Tables_number 230
_symmetry_space_group_name_Hall '-I 4bd 2c 3'
_cell_length_a 15.9912
_cell_length_b 15.9912
_cell_length_c 15.9912
_cell_angle_alpha 90.00
_cell_angle_beta 90.00
_cell_angle_gamma 90.00
loop_
_atom_site_label
_atom_site_fract_x
_atom_site_fract_y
_atom_site_fract_z
Th1 0.0000 0.2500 0.1250
Zn1 0.0000 0.0000 0.0000
Zn2 0.0000 0.2500 0.3750
Se1 0.0256 0.0623 0.6510
# **Magnetization**: 0.00 μB/f.u.
# **Energy relative to the elements, uncorrected**: -19.69 eV per formula unit
# **Electronic total energy**: -721.1 eV/cell


# 9
# PBE CePm2Br8, optimized geometry
data_CePm2Br8
_chemical_formula_sum 'Ce2 Pm4 Br16'
_symmetry_space_group_name_H-M 'C 1 2/m 1'
_symmetry_Int_Tables_number 12
_cell_length_a 9.0054
_cell_length_b 13.1638
_cell_length_c 5.7893
_cell_angle_alpha 90.00
_cell_angle_beta 105.92
_cell_angle_gamma 90.00
loop_
_symmetry_equiv_pos_as_xyz
'x,y,z'
'-x,-y,-z'
'-x,y,-z'
'x,-y,z'
'x+1/2,y+1/2,z'
'-x+1/2,-y+1/2,-z'
'-x+1/2,y+1/2,-z'
'x+1/2,-y+1/2,z'
loop_
_atom_site_label
_atom_site_fract_x
_atom_site_fract_y
_atom_site_fract_z
Ce1 0.0000 0.0000 0.0000
Pm1 0.0000 0.3168 0.5000
Br1 0.0000 0.2350 0.0000
Br2 0.1300 0.5000 0.8167
Br3 0.1942 0.1293 0.5837
# **Magnetization**: 2.05 μB/f.u.
# **Energy relative to the elements, uncorrected**: -18.38 eV per formula unit
# **Electronic total energy**: -94.4 eV/cell